1.
The following is a DFT calculation (GGA-PBE) of crystalline LiGa2Ni9 at its relaxed geometry.

Output
Raw total energy ... -5.18 eV/atom
Formation energy from the elements ... -0.18 eV per atom

Geometry as CIF:
```
data_LiGa2Ni9
_chemical_formula_sum 'Li1 Ga2 Ni9'
_cell_length_a 3.5820
_cell_length_b 3.5820
_cell_length_c 10.5752
_cell_angle_alpha 90.00
_cell_angle_beta 90.00
_cell_angle_gamma 90.00
_space_group_name_H-M_alt 'P 4/m m m'
_space_group_IT_number 123
_space_group_name_Hall '-P 4 2'
loop_
_atom_site_label
_atom_site_fract_x
_atom_site_fract_y
_atom_site_fract_z
Li1 0.0000 0.0000 0.0000
Ga1 0.0000 0.0000 0.3304
Ni1 0.0000 0.5000 0.1630
Ni2 0.0000 0.5000 0.5000
Ni3 0.5000 0.5000 0.0000
Ni4 0.5000 0.5000 0.3314
```

=====

2.
The following is a DFT calculation (GGA-PBE) of crystalline CdW3 at its relaxed geometry.

Output
Raw total energy ... -9.48 eV/atom
Energy above the lowest structure with this stoichiometry ... 56 kJ/mol of formula units
Formation energy from the elements ... 0.46 eV per atom

Geometry as CIF:
```
data_CdW3
_chemical_formula_sum 'Cd1 W3'
_cell_length_a 2.7368
_cell_length_b 4.5745
_cell_length_c 5.5193
_cell_angle_alpha 90.00
_cell_angle_beta 101.10
_cell_angle_gamma 90.00
_space_group_name_H-M_alt 'P 1 2/m 1'
_space_group_IT_number 10
loop_
_space_group_symop_operation_xyz
'x,y,z'
'-x,-y,-z'
'-x,y,-z'
'x,-y,z'
loop_
_atom_site_label
_atom_site_fract_x
_atom_site_fract_y
_atom_site_fract_z
Cd1 0.0000 0.0000 0.0000
W1 0.2530 0.5000 0.7390
W2 0.5000 0.0000 0.5000
```

=====

3.
The following is a DFT calculation (GGA-PBE) of crystalline DyMnVGe2 at its relaxed geometry.

Output
Raw total energy ... -6.91 eV/atom
Formation energy from the elements ... -0.49 eV per atom

Geometry as CIF:
```
data_DyMnVGe2
_chemical_formula_sum 'Dy2 Mn2 V2 Ge4'
_cell_length_a 3.9643
_cell_length_b 3.9643
_cell_length_c 11.0755
_cell_angle_alpha 90.00
_cell_angle_beta 90.00
_cell_angle_gamma 90.00
_space_group_name_H-M_alt 'I -4 m 2'
_space_group_IT_number 119
_space_group_name_Hall 'I -4 -2'
loop_
_atom_site_label
_atom_site_fract_x
_atom_site_fract_y
_atom_site_fract_z
Dy1 0.0000 0.0000 0.0000
Mn1 0.0000 0.5000 0.2500
V1 0.0000 0.5000 0.7500
Ge1 0.0000 0.0000 0.3861
```

=====

4.
The following is a DFT calculation (GGA-PBE) of crystalline ScCu2 at its relaxed geometry.

Output
Raw total energy ... -5.01 eV/atom
Formation energy from the elements ... -0.17 eV per atom

Geometry as CIF:
```
data_ScCu2
_chemical_formula_sum 'Sc4 Cu8'
_cell_length_a 3.4881
_cell_length_b 12.3579
_cell_length_c 4.3091
_cell_angle_alpha 90.00
_cell_angle_beta 90.00
_cell_angle_gamma 90.00
_space_group_name_H-M_alt 'C m c m'
_space_group_IT_number 63
_space_group_name_Hall '-C 2c 2'
loop_
_atom_site_label
_atom_site_fract_x
_atom_site_fract_y
_atom_site_fract_z
Sc1 0.0000 0.0943 0.2500
Cu1 0.0000 0.2356 0.7500
Cu2 0.0000 0.4181 0.2500
```

=====

5.
The following is a DFT calculation (GGA-PBE) of crystalline PmCoCu at its relaxed geometry.

Output
Raw total energy ... -5.45 eV/atom
Energy above the lowest structure with this stoichiometry ... 0 kJ/mol of formula units
Formation energy from the elements ... -0.14 eV per atom

Geometry as CIF:
```
data_PmCoCu
_chemical_formula_sum 'Pm4 Co4 Cu4'
_cell_length_a 4.0638
_cell_length_b 7.8967
_cell_length_c 7.1185
_cell_angle_alpha 90.00
_cell_angle_beta 90.00
_cell_angle_gamma 90.00
_space_group_name_H-M_alt 'I m m a'
_space_group_IT_number 74
_space_group_name_Hall '-I 2b 2'
loop_
_atom_site_label
_atom_site_fract_x
_atom_site_fract_y
_atom_site_fract_z
Pm1 0.0000 0.0000 0.0000
Co1 0.0000 0.2500 0.3172
Cu1 0.0000 0.2500 0.6564
```

=====

6.
The following is a DFT calculation (GGA-PBE) of crystalline Pr2YScSb4 at its relaxed geometry.

Output
Raw total energy ... -5.96 eV/atom
Uncorrected formation energy ... -1101.6 meV/atom

Geometry as CIF:
```
data_Pr2YScSb4
_chemical_formula_sum 'Pr2 Y1 Sc1 Sb4'
_cell_length_a 7.6405
_cell_length_b 4.4315
_cell_length_c 7.6705
_cell_angle_alpha 90.00
_cell_angle_beta 109.56
_cell_angle_gamma 90.00
_space_group_name_H-M_alt 'P 1 2/m 1'
_space_group_IT_number 10
loop_
_space_group_symop_operation_xyz
'x,y,z'
'-x,-y,-z'
'-x,y,-z'
'x,-y,z'
loop_
_atom_site_label
_atom_site_fract_x
_atom_site_fract_y
_atom_site_fract_z
Pr1 0.0000 0.0000 0.0000
Pr2 0.0000 0.5000 0.5000
Y1 0.5000 0.0000 0.5000
Sc1 0.5000 0.5000 0.0000
Sb1 0.2656 0.5000 0.2485
Sb2 0.2706 0.0000 0.7635
```

=====

7.
The following is a DFT calculation (GGA-PBE) of crystalline Hf2HPb at its relaxed geometry.

Output
Raw total energy ... -6.59 eV/atom
Energy above the lowest structure with this stoichiometry ... 124 kJ/mol of formula units

Geometry as CIF:
```
data_Hf2HPb
_chemical_formula_sum 'Hf8 H4 Pb4'
_cell_length_a 5.7469
_cell_length_b 5.7469
_cell_length_c 9.7624
_cell_angle_alpha 90.00
_cell_angle_beta 90.00
_cell_angle_gamma 90.00
_space_group_name_H-M_alt 'I 41/a m d'
_space_group_IT_number 141
loop_
_space_group_symop_operation_xyz
'x,y,z'
'-x,-y,-z'
'-y+1/4,x+3/4,z+1/4'
'y+1/4,-x+3/4,-z+1/4'
'-x+1/2,-y,z+1/2'
'x+1/2,y,-z+1/2'
'y+1/4,-x+1/4,z+3/4'
'-y+1/4,x+1/4,-z+3/4'
'x,-y,-z'
'-x,y,z'
'-y+1/4,-x+1/4,-z+3/4'
'y+1/4,x+1/4,z+3/4'
'-x+1/2,y,-z+1/2'
'x+1/2,-y,z+1/2'
'y+1/4,x+3/4,-z+1/4'
'-y+1/4,-x+3/4,z+1/4'
'x+1/2,y+1/2,z+1/2'
'-x+1/2,-y+1/2,-z+1/2'
'-y+3/4,x+1/4,z+3/4'
'y+3/4,-x+1/4,-z+3/4'
'-x,-y+1/2,z'
'x,y+1/2,-z'
'y+3/4,-x+3/4,z+1/4'
'-y+3/4,x+3/4,-z+1/4'
'x+1/2,-y+1/2,-z+1/2'
'-x+1/2,y+1/2,z+1/2'
'-y+3/4,-x+3/4,-z+1/4'
'y+3/4,x+3/4,z+1/4'
'-x,y+1/2,-z'
'x,-y+1/2,z'
'y+3/4,x+1/4,-z+3/4'
'-y+3/4,-x+1/4,z+3/4'
loop_
_atom_site_label
_atom_site_fract_x
_atom_site_fract_y
_atom_site_fract_z
Hf1 0.0000 0.0000 0.0000
H1 0.0000 0.2500 0.8750
Pb1 0.0000 0.2500 0.3750
```

=====

8.
The following is a DFT calculation (GGA-PBE) of crystalline RbNiSe2N at its relaxed geometry.

Output
Raw total energy ... -4.17 eV/atom
Uncorrected formation energy ... 238.0 meV/atom
Energy above the lowest structure with this stoichiometry ... 0 kJ/mol of formula units

Geometry as CIF:
```
data_RbNiSe2N
_chemical_formula_sum 'Rb1 Ni1 Se2 N1'
_cell_length_a 5.6190
_cell_length_b 5.6190
_cell_length_c 3.3948
_cell_angle_alpha 90.00
_cell_angle_beta 90.00
_cell_angle_gamma 90.00
_space_group_name_H-M_alt 'P 4/m m m'
_space_group_IT_number 123
_space_group_name_Hall '-P 4 2'
loop_
_atom_site_label
_atom_site_fract_x
_atom_site_fract_y
_atom_site_fract_z
Rb1 0.0000 0.0000 0.0000
Ni1 0.5000 0.5000 0.5000
Se1 0.0000 0.5000 0.5000
N1 0.5000 0.5000 0.0000
```

=====

9.
The following is a DFT calculation (GGA-PBE) of crystalline CdIn2Ag at its relaxed geometry.

Output
Raw total energy ... -2.28 eV/atom
Formation energy from the elements ... 0.03 eV per atom

Geometry as CIF:
```
data_CdIn2Ag
_chemical_formula_sum 'Cd1 In2 Ag1'
_cell_length_a 3.3105
_cell_length_b 5.1082
_cell_length_c 5.8605
_cell_angle_alpha 111.86
_cell_angle_beta 91.37
_cell_angle_gamma 90.35
_space_group_name_H-M_alt 'P -1'
_space_group_IT_number 2
loop_
_space_group_symop_operation_xyz
'x,y,z'
'-x,-y,-z'
loop_
_atom_site_label
_atom_site_fract_x
_atom_site_fract_y
_atom_site_fract_z
Cd1 0.0000 0.0000 0.0000
In1 0.0000 0.5000 0.5000
In2 0.5000 0.5000 0.0000
Ag1 0.5000 0.0000 0.5000
```

=====

10.
The following is a DFT calculation (GGA-PBE) of crystalline Pm12NdSn6 at its relaxed geometry.

Output
Raw total energy ... -4.91 eV/atom
Formation energy from the elements ... -0.40 eV per atom

Geometry as CIF:
```
data_Pm12NdSn6
_chemical_formula_sum 'Pm36 Nd3 Sn18'
_cell_length_a 15.1578
_cell_length_b 15.1578
_cell_length_c 9.3417
_cell_angle_alpha 90.00
_cell_angle_beta 90.00
_cell_angle_gamma 120.00
_space_group_name_H-M_alt 'R -3'
_space_group_IT_number 148
_space_group_name_Hall '-R 3'
loop_
_atom_site_label
_atom_site_fract_x
_atom_site_fract_y
_atom_site_fract_z
Pm1 0.0369 0.2344 0.4236
Pm2 0.0403 0.7894 0.9287
Nd1 0.0000 0.0000 0.0000
Sn1 0.0000 0.1654 0.7559
```

=====

11.
The following is a DFT calculation (GGA-PBE) of crystalline SrNiH3 at its relaxed geometry.

Output
Raw total energy ... -3.76 eV/atom

Geometry as CIF:
```
data_SrNiH3
_chemical_formula_sum 'Sr4 Ni4 H12'
_cell_length_a 4.8719
_cell_length_b 7.9353
_cell_length_c 6.1669
_cell_angle_alpha 90.00
_cell_angle_beta 90.00
_cell_angle_gamma 90.00
_space_group_name_H-M_alt 'I m m a'
_space_group_IT_number 74
_space_group_name_Hall '-I 2b 2'
loop_
_atom_site_label
_atom_site_fract_x
_atom_site_fract_y
_atom_site_fract_z
Sr1 0.0000 0.0000 0.0000
Ni1 0.0000 0.2500 0.4313
H1 0.0000 0.1101 0.6068
H2 0.2500 0.2500 0.2500
```

=====

12.
The following is a DFT calculation (GGA-PBE) of crystalline NaLiCd3Pb at its relaxed geometry.

Output
Raw total energy ... -1.73 eV/atom
Formation energy from the elements ... -0.11 eV per atom

Geometry as CIF:
```
data_NaLiCd3Pb
_chemical_formula_sum 'Na4 Li4 Cd12 Pb4'
_cell_length_a 3.6661
_cell_length_b 15.8854
_cell_length_c 9.8027
_cell_angle_alpha 90.00
_cell_angle_beta 90.00
_cell_angle_gamma 90.00
_space_group_name_H-M_alt 'C m c m'
_space_group_IT_number 63
_space_group_name_Hall '-C 2c 2'
loop_
_atom_site_label
_atom_site_fract_x
_atom_site_fract_y
_atom_site_fract_z
Na1 0.0000 0.2060 0.2500
Li1 0.0000 0.0000 0.0000
Cd1 0.0000 0.1238 0.7500
Cd2 0.0000 0.3375 0.0093
Pb1 0.0000 0.4629 0.7500
```